# 1
A relaxed structure of ErBe2Cu9, computed with GGA-PBE.

Its space group is P6/mmm, No. 191. For the formation energy, the calculation gives -0.019 eV per formula unit. The calculation puts the energy above the most stable polymorph in this dataset at 11.3 kJ per mole of atoms.

Unit cell a=7.309 b=7.309 c=3.380 alpha=90.00 beta=90.00 gamma=120.00
Positions (direct):
Er 0.000 0.000 0.000
Be 0.333 0.667 0.000
Be 0.667 0.333 0.000
Cu 0.000 0.500 0.000
Cu 0.206 0.412 0.500
Cu 0.206 0.794 0.500
Cu 0.412 0.206 0.500
Cu 0.500 0.000 0.000
Cu 0.500 0.500 0.000
Cu 0.588 0.794 0.500
Cu 0.794 0.206 0.500
Cu 0.794 0.588 0.500

---

# 2
A relaxed structure of ErBe2Cu5, computed with GGA-PBE.

Its space group is Immm, No. 71. For the formation energy, the calculation gives -0.775 eV per formula unit.

Unit cell a=3.518 b=6.728 c=8.896 alpha=90.00 beta=90.00 gamma=90.00
Positions (direct):
Er 0.000 0.000 0.000
Er 0.500 0.500 0.500
Be 0.000 0.500 0.250
Be 0.000 0.500 0.750
Be 0.500 0.000 0.250
Be 0.500 0.000 0.750
Cu 0.000 0.190 0.348
Cu 0.000 0.190 0.652
Cu 0.000 0.500 0.000
Cu 0.000 0.810 0.348
Cu 0.000 0.810 0.652
Cu 0.500 0.000 0.500
Cu 0.500 0.310 0.152
Cu 0.500 0.310 0.848
Cu 0.500 0.690 0.152
Cu 0.500 0.690 0.848

---

# 3
A relaxed structure of ErBeCu, computed with GGA-PBE.

Its space group is Fddd, No. 70. For the formation energy, the calculation gives 0.552 eV per formula unit. The calculation puts the energy above the most stable polymorph in this dataset at 30.9 kJ per mole of atoms.

Unit cell a=10.479 b=8.199 c=7.131 alpha=85.95 beta=51.30 gamma=42.75
Positions (direct):
Er 0.003 0.747 0.003
Er 0.253 0.997 0.253
Er 0.747 0.003 0.747
Er 0.997 0.253 0.997
Be 0.008 0.008 0.742
Be 0.258 0.258 0.992
Be 0.742 0.742 0.008
Be 0.992 0.992 0.258
Cu 0.287 0.287 0.463
Cu 0.463 0.463 0.287
Cu 0.537 0.537 0.713
Cu 0.713 0.713 0.537

---

# 4
A relaxed structure of ErBe6Cu6, computed with GGA-PBE.

Its space group is Immm, No. 71. For the formation energy, the calculation gives -1.916 eV per formula unit.

Unit cell a=6.131 b=6.131 c=6.131 alpha=137.51 beta=97.67 gamma=97.41
Positions (direct):
Er 0.000 0.000 0.000
Be 0.000 0.000 0.500
Be 0.000 0.500 0.000
Be 0.239 0.500 0.739
Be 0.500 0.000 0.000
Be 0.500 0.500 0.500
Be 0.761 0.500 0.261
Cu 0.206 0.706 0.500
Cu 0.349 0.000 0.349
Cu 0.352 0.352 0.000
Cu 0.648 0.648 0.000
Cu 0.651 0.000 0.651
Cu 0.794 0.294 0.500

---

# 5
A relaxed structure of Er2Be3Cu17, computed with GGA-PBE.

Its space group is R-3m, No. 166. For the formation energy, the calculation gives 2.195 eV per formula unit.

Unit cell a=6.704 b=6.704 c=6.704 alpha=84.01 beta=84.01 gamma=84.01
Positions (direct):
Er 0.171 0.171 0.171
Er 0.829 0.829 0.829
Be 0.000 0.000 0.500
Be 0.000 0.500 0.000
Be 0.500 0.000 0.000
Cu 0.000 0.500 0.500
Cu 0.164 0.164 0.668
Cu 0.164 0.668 0.164
Cu 0.230 0.500 0.770
Cu 0.230 0.770 0.500
Cu 0.332 0.836 0.836
Cu 0.403 0.403 0.403
Cu 0.500 0.000 0.500
Cu 0.500 0.230 0.770
Cu 0.500 0.500 0.000
Cu 0.500 0.770 0.230
Cu 0.597 0.597 0.597
Cu 0.668 0.164 0.164
Cu 0.770 0.230 0.500
Cu 0.770 0.500 0.230
Cu 0.836 0.332 0.836
Cu 0.836 0.836 0.332

---

# 6
A relaxed structure of ErBe6Cu12, computed with GGA-PBE.

Its space group is R-3m, No. 166. For the formation energy, the calculation gives 0.239 eV per formula unit.

Unit cell a=6.337 b=6.337 c=6.337 alpha=104.13 beta=104.13 gamma=104.13
Positions (direct):
Er 0.000 0.000 0.000
Be 0.243 0.243 0.699
Be 0.243 0.699 0.243
Be 0.301 0.757 0.757
Be 0.699 0.243 0.243
Be 0.757 0.301 0.757
Be 0.757 0.757 0.301
Cu 0.123 0.500 0.877
Cu 0.123 0.877 0.500
Cu 0.172 0.439 0.439
Cu 0.439 0.172 0.439
Cu 0.439 0.439 0.172
Cu 0.500 0.123 0.877
Cu 0.500 0.877 0.123
Cu 0.561 0.561 0.828
Cu 0.561 0.828 0.561
Cu 0.828 0.561 0.561
Cu 0.877 0.123 0.500
Cu 0.877 0.500 0.123